Compound: CrAgMo
Source: the Alexandria database
Functional: meta-GGA SCAN
Structure: PBEsol geometry

a b c (Å): 2.5447 4.4161 4.4161
angles (deg): 120.00 90.00 90.00
Last column: nearest neighbours and their distance in Å.
Sites, in units of the cell vectors:
Ag 0.9625 0.0000 0.0000  2 Ag 2.54, 3 Cr 2.67, 3 Mo 2.76
Mo 0.3825 0.6667 0.3333  2 Mo 2.54, 3 Cr 2.64, 3 Ag 2.76
Cr 0.6550 0.3333 0.6667  2 Cr 2.54, 3 Mo 2.64, 3 Ag 2.67

Properties
Electronic total energy ... -27.618 eV/atom
Calculated density ... 9884 kg/m3
ΔH_f (0 K) ... 594 meV per atom